1.
Sm6In2N: optimized geometry, PBE.

```
9
Lattice="0.0000 4.9836 4.9836 4.9836 0.0000 4.9836 4.9836 4.9836 0.0000" Properties=species:S:1:pos:R:3 pbc="T T T"
Sm 4.9836 4.9836 2.4360
Sm 4.9836 2.4360 4.9836
Sm 7.5311 4.9836 4.9836
Sm 2.4360 4.9836 4.9836
Sm 4.9836 7.5311 4.9836
Sm 4.9836 4.9836 7.5311
In 2.4918 2.4918 2.4918
In 7.4753 7.4753 7.4753
N 0.0000 0.0000 0.0000
```

Output
symmetry	Fm-3m (225)
spin magnetization	0.000	μB/f.u.
total DFT energy (no corrections)	-5.270	eV/atom
formation energy from raw total energies	-0.5901	eV per atom

***

2.
SiSbO2: optimized geometry, PBE.

```
16
Lattice="5.9428 0.0000 0.0000 0.0000 5.9428 0.0000 0.0000 0.0000 5.9428" Properties=species:S:1:pos:R:3 pbc="T T T"
Si 0.0000 0.0000 0.0000
Si 0.0000 2.9714 2.9714
Si 2.9714 0.0000 2.9714
Si 2.9714 2.9714 0.0000
Sb 0.0000 0.0000 2.9714
Sb 0.0000 2.9714 0.0000
Sb 2.9714 0.0000 0.0000
Sb 2.9714 2.9714 2.9714
O 1.4857 1.4857 1.4857
O 1.4857 1.4857 4.4571
O 1.4857 4.4571 1.4857
O 1.4857 4.4571 4.4571
O 4.4571 1.4857 1.4857
O 4.4571 1.4857 4.4571
O 4.4571 4.4571 1.4857
O 4.4571 4.4571 4.4571
```

Output
symmetry	Fm-3m (225)
spin magnetization	0.000	μB/f.u.
total DFT energy (no corrections)	-4.912	eV/atom
formation energy from raw total energies	-0.0461	eV per atom

***

3.
Ac12Pm5Nd: optimized geometry, PBE.

```
18
Lattice="3.3855 -5.8633 0.0000 3.3855 5.8633 0.0000 -2.2495 0.0000 18.8418" Properties=species:S:1:pos:R:3 pbc="T T T"
Ac 1.1297 1.9564 3.0657
Ac 0.0009 0.0000 6.3631
Ac 1.1349 1.9542 12.4789
Ac 0.0094 0.0000 15.7768
Ac 1.1297 -1.9564 3.0657
Ac 3.3866 1.9542 6.3629
Ac 1.1349 -1.9542 12.4789
Ac 3.3918 1.9564 15.7761
Ac 4.5122 0.0000 3.0651
Ac 3.3866 -1.9542 6.3629
Ac 4.5206 0.0000 12.4787
Ac 3.3918 -1.9564 15.7761
Pm 2.2608 3.9092 9.4209
Pm 3.3855 1.9542 0.0000
Pm 2.2608 0.0000 9.4209
Pm 3.3855 -1.9542 0.0000
Pm 2.2608 -3.9092 9.4209
Nd 0.0000 0.0000 0.0000
```

Output
symmetry	C2/m (12)
spin magnetization	0.000	μB/f.u.
total DFT energy (no corrections)	-4.294	eV/atom
E_form	0.0295	eV/atom

***

4.
Mn4Nb2Pt: optimized geometry, PBE.

```
14
Lattice="4.6738 0.0000 0.0000 0.0000 4.6738 0.0000 0.0000 0.0000 13.0464" Properties=species:S:1:pos:R:3 pbc="T T T"
Mn 0.0000 0.0000 2.5358
Mn 0.0000 0.0000 10.5107
Mn 0.0000 2.3369 0.0000
Mn 0.0000 2.3369 6.5232
Mn 2.3369 0.0000 0.0000
Mn 2.3369 0.0000 6.5232
Mn 2.3369 2.3369 3.9874
Mn 2.3369 2.3369 9.0590
Nb 0.0000 0.0000 5.1523
Nb 0.0000 0.0000 7.8941
Nb 2.3369 2.3369 1.3709
Nb 2.3369 2.3369 11.6755
Pt 0.0000 0.0000 0.0000
Pt 2.3369 2.3369 6.5232
```

Output
symmetry	I4/mmm (139)
spin magnetization	11.454	μB/f.u.
total DFT energy (no corrections)	-7.979	eV/atom
E_form	1.0009	eV/atom

***

5.
Be2NiBiP: optimized geometry, PBE.

```
5
Lattice="4.5250 0.0000 0.0000 0.0000 4.5250 0.0000 0.0000 0.0000 5.5147" Properties=species:S:1:pos:R:3 pbc="T T T"
Be 0.0000 2.2625 0.0000
Be 2.2625 0.0000 0.0000
Ni 0.0000 0.0000 2.7573
Bi 2.2625 2.2625 0.0000
P 2.2625 2.2625 2.7573
```

Output
symmetry	P4/mmm (123)
spin magnetization	0.622	μB/f.u.
total DFT energy (no corrections)	-2.775	eV/atom
E_form	1.7300	eV/atom

***

6.
ZrAg: optimized geometry, PBE.

```
8
Lattice="4.2075 0.0000 0.0000 0.0000 4.2075 0.0000 0.0000 0.0000 9.1062" Properties=species:S:1:pos:R:3 pbc="T T T"
Zr 0.0000 1.0519 3.4148
Zr 0.0000 3.1556 5.6913
Zr 2.1037 1.0519 1.1383
Zr 2.1037 3.1556 7.9679
Ag 0.0000 1.0519 7.9679
Ag 0.0000 3.1556 1.1383
Ag 2.1037 1.0519 5.6913
Ag 2.1037 3.1556 3.4148
```

Output
symmetry	I4_1/amd (141)
spin magnetization	0.000	μB/f.u.
total DFT energy (no corrections)	-5.623	eV/atom
E_form	0.0766	eV/atom

***

7.
Te2IrBr: optimized geometry, PBE.

```
16
Lattice="9.2365 0.0000 0.0000 0.0000 9.2365 0.0000 0.0000 0.0000 5.7653" Properties=species:S:1:pos:R:3 pbc="T T T"
Te 1.4804 3.1378 0.0000
Te 1.4804 6.0987 2.8827
Te 3.1378 1.4804 2.8827
Te 3.1378 7.7560 0.0000
Te 6.0987 1.4804 0.0000
Te 6.0987 7.7560 2.8827
Te 7.7560 3.1378 2.8827
Te 7.7560 6.0987 0.0000
Ir 0.0000 4.6182 1.4413
Ir 0.0000 4.6182 4.3240
Ir 4.6182 0.0000 1.4413
Ir 4.6182 0.0000 4.3240
Br 0.0000 0.0000 1.4413
Br 0.0000 0.0000 4.3240
Br 4.6182 4.6182 1.4413
Br 4.6182 4.6182 4.3240
```

Output
symmetry	I4/mcm (140)
spin magnetization	0.000	μB/f.u.
total DFT energy (no corrections)	-4.135	eV/atom
formation energy from raw total energies	0.0696	eV per atom

***

8.
ZnCdRu: optimized geometry, PBE.

```
3
Lattice="4.4727 0.0000 0.0000 -2.2364 3.8735 0.0000 0.0000 0.0000 2.7840" Properties=species:S:1:pos:R:3 pbc="T T T"
Zn 0.0000 0.0000 0.0000
Cd 0.0000 2.5823 0.6793
Ru 2.2364 1.2912 1.9506
```

Output
symmetry	P3m1 (156)
spin magnetization	0.000	μB/f.u.
total DFT energy (no corrections)	-3.583	eV/atom
E_form	0.2385	eV/atom

***

9.
Rb2TiCuCl6: optimized geometry, PBE.

```
10
Lattice="-3.7566 4.4872 3.9776 3.7566 -4.4872 3.9776 3.7566 4.4872 -3.9776" Properties=species:S:1:pos:R:3 pbc="T T T"
Rb 0.0000 2.1994 0.0000
Rb 0.0000 6.7751 0.0000
Ti 0.0000 0.0000 4.0223
Cu 0.0000 4.4872 3.1177
Cl 3.7566 2.0449 0.2396
Cl 2.0504 4.4872 -1.5924
Cl 1.7063 0.0000 2.3852
Cl 2.0172 4.4872 1.9079
Cl 1.7394 0.0000 5.8854
Cl 0.0000 2.4423 4.2171
```

Output
symmetry	Imm2 (44)
spin magnetization	1.000	μB/f.u.
total DFT energy (no corrections)	-4.004	eV/atom
formation energy from raw total energies	-1.5035	eV per atom

***

10.
Pa2Te5Pd2: optimized geometry, PBE.

```
18
Lattice="-8.8555 4.2338 3.2455 8.8555 -4.2338 3.2455 8.8555 4.2338 -3.2455" Properties=species:S:1:pos:R:3 pbc="T T T"
Pa 1.7889 0.4319 0.0000
Pa 7.0666 0.4319 0.0000
Pa 1.7889 3.8018 3.2455
Pa 7.0666 3.8018 3.2455
Te 9.5465 2.2003 -1.4942
Te 8.1646 -2.0335 1.7513
Te 13.2833 1.0607 0.6612
Te 2.5868 3.3977 0.0143
Te 6.2687 3.3977 0.0143
Te -0.6909 2.0335 1.7513
Te 9.5465 2.0335 1.7513
Te 2.5868 0.8361 3.2598
Te 6.2687 0.8361 3.2598
Te -4.4278 3.1731 3.9067
Pd 0.0000 4.2338 0.2929
Pd 0.0000 0.0000 3.5384
Pd 4.4278 -0.3812 4.6776
Pd 4.4278 4.6150 1.4321
```

Output
symmetry	Ima2 (46)
spin magnetization	1.574	μB/f.u.
total DFT energy (no corrections)	-5.592	eV/atom
formation energy from raw total energies	-0.5827	eV per atom

***

> total DFT energy (no corrections) of number 7 (Te2IrBr)?

-4.135 eV/atom

***

Repeat the second record exactly.
SiSbO2: optimized geometry, PBE.

```
16
Lattice="5.9428 0.0000 0.0000 0.0000 5.9428 0.0000 0.0000 0.0000 5.9428" Properties=species:S:1:pos:R:3 pbc="T T T"
Si 0.0000 0.0000 0.0000
Si 0.0000 2.9714 2.9714
Si 2.9714 0.0000 2.9714
Si 2.9714 2.9714 0.0000
Sb 0.0000 0.0000 2.9714
Sb 0.0000 2.9714 0.0000
Sb 2.9714 0.0000 0.0000
Sb 2.9714 2.9714 2.9714
O 1.4857 1.4857 1.4857
O 1.4857 1.4857 4.4571
O 1.4857 4.4571 1.4857
O 1.4857 4.4571 4.4571
O 4.4571 1.4857 1.4857
O 4.4571 1.4857 4.4571
O 4.4571 4.4571 1.4857
O 4.4571 4.4571 4.4571
```

Output
symmetry	Fm-3m (225)
spin magnetization	0.000	μB/f.u.
total DFT energy (no corrections)	-4.912	eV/atom
formation energy from raw total energies	-0.0461	eV per atom